No. 1
Entry from the Alexandria database: CaY2Mo after structural relaxation (GGA-PBE).

## Properties
- offset from the most stable computed form (meV per atom) = 0.0
- formation energy (eV per atom) = 0.259
- symmetry = P4/mmm, No. 123
- raw total energy (eV/atom) = -6.18

Unit cell a=3.571 b=3.570 c=9.143 alpha=90.00 beta=90.00 gamma=90.06
Sites, in units of the cell vectors:
Y: 0.000 0.000 0.933
Y: 0.000 0.000 0.567
Mo: 0.500 0.500 0.750
Ca: 0.500 0.500 0.250

---

No. 2
Entry from the Alexandria database: KMgNpF6 after structural relaxation (GGA-PBE).

## Properties
- raw formation energy (eV per formula unit) = -29.67
- symmetry = P-31c, No. 163
- raw total energy (eV/atom) = -6.28

Unit cell a=5.917 b=5.917 c=10.613 alpha=90.00 beta=90.00 gamma=120.00
Site moments in Bohr magnetons follow the coordinates.
Sites, in units of the cell vectors:
K: 0.000 0.000 0.000  0.00
K: 0.000 0.000 0.500  0.00
Mg: 0.333 0.667 0.250  0.00
Mg: 0.667 0.333 0.750  0.00
Np: 0.667 0.333 0.250  3.96
Np: 0.333 0.667 0.750  3.96
F: 0.607 0.642 0.146  -0.01
F: 0.035 0.393 0.146  -0.01
F: 0.393 0.035 0.646  -0.01
F: 0.965 0.607 0.854  -0.01
F: 0.358 0.393 0.354  -0.01
F: 0.035 0.642 0.354  -0.01
F: 0.642 0.035 0.854  -0.01
F: 0.607 0.965 0.354  -0.01
F: 0.965 0.358 0.646  -0.01
F: 0.358 0.965 0.146  -0.01
F: 0.642 0.607 0.646  -0.01
F: 0.393 0.358 0.854  -0.01

---

No. 3
Entry from the Alexandria database: Tb2Y4Er after structural relaxation (GGA-PBE).

## Properties
- offset from the most stable computed form (meV per atom) = 101.5
- formation energy (eV per atom) = 0.138
- symmetry = P2_1/m, No. 11
- raw total energy (eV/atom) = -5.53

Unit cell a=5.991 b=6.674 c=11.676 alpha=90.00 beta=104.97 gamma=90.00
Sites, in units of the cell vectors:
Tb: 0.601 0.750 0.008
Tb: 0.399 0.250 0.992
Tb: 0.281 0.250 0.444
Tb: 0.719 0.750 0.556
Y: 0.632 0.496 0.289
Y: 0.984 0.750 0.842
Y: 0.016 0.250 0.158
Y: 0.632 0.004 0.289
Y: 0.849 0.250 0.576
Y: 0.368 0.996 0.711
Y: 0.368 0.504 0.711
Y: 0.151 0.750 0.424
Er: 0.160 0.750 0.141
Er: 0.840 0.250 0.859

---

No. 4
Entry from the Alexandria database: Ac3SmTl after structural relaxation (GGA-PBE).

## Properties
- offset from the most stable computed form (meV per atom) = 0.0
- formation energy (eV per atom) = -0.069
- symmetry = Cmcm, No. 63
- raw total energy (eV/atom) = -3.95

Unit cell a=5.264 b=5.264 c=13.828 alpha=90.00 beta=79.03 gamma=90.00
Sites, in units of the cell vectors:
Ac: 0.770 0.250 0.109
Ac: 0.382 0.250 0.884
Ac: 0.574 0.250 0.501
Ac: 0.266 0.750 0.116
Ac: 0.879 0.750 0.891
Ac: 0.075 0.750 0.499
Sm: 0.477 0.750 0.695
Sm: 0.172 0.250 0.305
Tl: 0.671 0.750 0.307
Tl: 0.978 0.250 0.693